1.
# CaMg2PbN, relaxed, DFT PBE
data_CaMg2PbN
_chemical_formula_sum 'Ca1 Mg2 Pb1 N1'
_symmetry_space_group_name_H-M 'P 4/m m m'
_symmetry_Int_Tables_number 123
_symmetry_space_group_name_Hall '-P 4 2'
_cell_length_a 4.466
_cell_length_b 4.466
_cell_length_c 4.914
_cell_angle_alpha 90.00
_cell_angle_beta 90.00
_cell_angle_gamma 90.00
loop_
_atom_site_label
_atom_site_fract_x
_atom_site_fract_y
_atom_site_fract_z
_atom_site_occupancy
Ca1 0.000 0.000 0.000 1
Mg1 0.000 0.500 0.500 1
Pb1 0.500 0.500 0.000 1
N1 0.000 0.000 0.500 1
# V, Å³ per cell: 98.0
# Mass density, g/cm³: 5.3
# Raw formation energy, eV per atom: -0.48



2.
# Ca2MgPdN, relaxed, DFT PBE
data_Ca2MgPdN
_chemical_formula_sum 'Ca2 Mg1 Pd1 N1'
_symmetry_space_group_name_H-M 'P 4/m m m'
_symmetry_Int_Tables_number 123
_symmetry_space_group_name_Hall '-P 4 2'
_cell_length_a 4.879
_cell_length_b 4.879
_cell_length_c 4.168
_cell_angle_alpha 90.00
_cell_angle_beta 90.00
_cell_angle_gamma 90.00
loop_
_atom_site_label
_atom_site_fract_x
_atom_site_fract_y
_atom_site_fract_z
_atom_site_occupancy
Ca1 0.000 0.500 0.000 1
Mg1 0.000 0.000 0.500 1
Pd1 0.500 0.500 0.500 1
N1 0.000 0.000 0.000 1
# V, Å³ per cell: 99.2
# Mass density, g/cm³: 3.8
# Raw formation energy, eV per atom: -0.65



3.
# CaMg2PdN, relaxed, DFT PBE
data_CaMg2PdN
_chemical_formula_sum 'Ca1 Mg2 Pd1 N1'
_symmetry_space_group_name_H-M 'P 4/m m m'
_symmetry_Int_Tables_number 123
_symmetry_space_group_name_Hall '-P 4 2'
_cell_length_a 4.236
_cell_length_b 4.236
_cell_length_c 4.858
_cell_angle_alpha 90.00
_cell_angle_beta 90.00
_cell_angle_gamma 90.00
loop_
_atom_site_label
_atom_site_fract_x
_atom_site_fract_y
_atom_site_fract_z
_atom_site_occupancy
Ca1 0.000 0.000 0.000 1
Mg1 0.000 0.500 0.500 1
Pd1 0.500 0.500 0.000 1
N1 0.000 0.000 0.500 1
# V, Å³ per cell: 87.1
# Mass density, g/cm³: 4.0
# Raw formation energy, eV per atom: -0.58



4.
# CaPr2MgN, relaxed, DFT PBE
data_CaPr2MgN
_chemical_formula_sum 'Ca1 Pr2 Mg1 N1'
_symmetry_space_group_name_H-M 'P 4/m m m'
_symmetry_Int_Tables_number 123
_symmetry_space_group_name_Hall '-P 4 2'
_cell_length_a 5.140
_cell_length_b 5.140
_cell_length_c 4.983
_cell_angle_alpha 90.00
_cell_angle_beta 90.00
_cell_angle_gamma 90.00
loop_
_atom_site_label
_atom_site_fract_x
_atom_site_fract_y
_atom_site_fract_z
_atom_site_occupancy
Ca1 0.000 0.000 0.000 1
Pr1 0.000 0.500 0.500 1
Mg1 0.500 0.500 0.000 1
N1 0.000 0.000 0.500 1
# V, Å³ per cell: 131.7
# Mass density, g/cm³: 4.5
# Raw formation energy, eV per atom: -0.51